The following is a PBE-GGA calculation of CaMo3Rh after structural relaxation, from Alexandria.

abc: 4.510 4.510 4.510
angles: 90.00 90.00 90.00
Fractional positions:
Ca  0.000  0.000  0.000
Mo  0.000  0.000  0.500
Mo  0.000  0.500  0.000
Mo  0.500  0.000  0.000
Rh  0.500  0.500  0.500

Output
raw total energy	-5.700	eV/atom
excess energy over the best structure of this formula in the dataset	6.67	eV per formula unit
formation enthalpy at 0 K	2.67	eV/atom
magnetization	0.00	μB/f.u.
calculated density	7.80	g/cm3